1.
AsPPtBr2 | PBE | optimized geometry

SG: P4/mmm (123)
ΔE_f (raw) in meV per atom: 758

Structure (CIF):
```
data_AsPPtBr2
_cell_length_a 5.197
_cell_length_b 5.197
_cell_length_c 4.861
_cell_angle_alpha 90.00
_cell_angle_beta 90.00
_cell_angle_gamma 90.00
_symmetry_space_group_name_H-M 'P 1'
_symmetry_Int_Tables_number 1
loop_
_symmetry_equiv_pos_as_xyz
'x,y,z'
loop_
_atom_site_label
_atom_site_fract_x
_atom_site_fract_y
_atom_site_fract_z
_atom_site_occupancy
As1 0.000 0.000 0.000 1
P1 0.500 0.500 0.000 1
Pt1 0.000 0.000 0.500 1
Br1 0.000 0.500 0.500 1
Br2 0.500 0.000 0.500 1
```

2.
Dy7Y12Hf | PBE | optimized geometry

SG: R-3 (148)
E_tot in eV/atom: -5.700

Structure (CIF):
```
data_Dy7Y12Hf
_cell_length_a 8.649
_cell_length_b 8.649
_cell_length_c 8.649
_cell_angle_alpha 94.71
_cell_angle_beta 94.71
_cell_angle_gamma 94.71
_symmetry_space_group_name_H-M 'P 1'
_symmetry_Int_Tables_number 1
loop_
_symmetry_equiv_pos_as_xyz
'x,y,z'
loop_
_atom_site_label
_atom_site_fract_x
_atom_site_fract_y
_atom_site_fract_z
_atom_site_occupancy
Dy1 0.000 0.000 0.000 1
Dy2 0.154 0.478 0.417 1
Dy3 0.417 0.154 0.478 1
Dy4 0.478 0.417 0.154 1
Dy5 0.522 0.583 0.846 1
Dy6 0.583 0.846 0.522 1
Dy7 0.846 0.522 0.583 1
Y1 0.017 0.351 0.084 1
Y2 0.084 0.017 0.351 1
Y3 0.189 0.318 0.749 1
Y4 0.251 0.811 0.682 1
Y5 0.318 0.749 0.189 1
Y6 0.351 0.084 0.017 1
Y7 0.649 0.916 0.983 1
Y8 0.682 0.251 0.811 1
Y9 0.749 0.189 0.318 1
Y10 0.811 0.682 0.251 1
Y11 0.916 0.983 0.649 1
Y12 0.983 0.649 0.916 1
Hf1 0.500 0.500 0.500 1
```

3.
ErZn3Rh4 | PBE | optimized geometry

SG: P4/mmm (123)
E_tot in eV/atom: -5.272

Structure (CIF):
```
data_ErZn3Rh4
_cell_length_a 4.378
_cell_length_b 4.378
_cell_length_c 6.314
_cell_angle_alpha 90.00
_cell_angle_beta 90.00
_cell_angle_gamma 90.00
_symmetry_space_group_name_H-M 'P 1'
_symmetry_Int_Tables_number 1
loop_
_symmetry_equiv_pos_as_xyz
'x,y,z'
loop_
_atom_site_label
_atom_site_fract_x
_atom_site_fract_y
_atom_site_fract_z
_atom_site_occupancy
Er1 0.000 0.000 0.000 1
Zn1 0.000 0.000 0.500 1
Zn2 0.500 0.500 0.000 1
Zn3 0.500 0.500 0.500 1
Rh1 0.000 0.500 0.269 1
Rh2 0.000 0.500 0.731 1
Rh3 0.500 0.000 0.269 1
Rh4 0.500 0.000 0.731 1
```

4.
Mg2CoOs | PBE | optimized geometry

SG: P4mm (99)
E_tot in eV/atom: -5.279

Structure (CIF):
```
data_Mg2CoOs
_cell_length_a 2.798
_cell_length_b 2.798
_cell_length_c 8.097
_cell_angle_alpha 90.00
_cell_angle_beta 90.00
_cell_angle_gamma 90.00
_symmetry_space_group_name_H-M 'P 1'
_symmetry_Int_Tables_number 1
loop_
_symmetry_equiv_pos_as_xyz
'x,y,z'
loop_
_atom_site_label
_atom_site_fract_x
_atom_site_fract_y
_atom_site_fract_z
_atom_site_occupancy
Mg1 0.000 0.000 0.000 1
Mg2 0.500 0.500 0.333 1
Co1 0.500 0.500 0.769 1
Os1 0.000 0.000 0.584 1
```

5.
TbPm5Sm3 | PBE | optimized geometry

SG: C2/m (12)
E_tot in eV/atom: -4.246

Structure (CIF):
```
data_TbPm5Sm3
_cell_length_a 9.666
_cell_length_b 9.666
_cell_length_c 9.909
_cell_angle_alpha 120.56
_cell_angle_beta 120.56
_cell_angle_gamma 74.46
_symmetry_space_group_name_H-M 'P 1'
_symmetry_Int_Tables_number 1
loop_
_symmetry_equiv_pos_as_xyz
'x,y,z'
loop_
_atom_site_label
_atom_site_fract_x
_atom_site_fract_y
_atom_site_fract_z
_atom_site_occupancy
Tb1 0.249 0.249 0.408 1
Tb2 0.751 0.751 0.592 1
Pm1 0.104 0.600 0.261 1
Pm2 0.226 0.226 0.049 1
Pm3 0.253 0.747 0.000 1
Pm4 0.274 0.274 0.770 1
Pm5 0.400 0.896 0.739 1
Pm6 0.600 0.104 0.261 1
Pm7 0.726 0.726 0.230 1
Pm8 0.747 0.253 0.000 1
Pm9 0.774 0.774 0.951 1
Pm10 0.896 0.400 0.739 1
Sm1 0.000 0.000 0.000 1
Sm2 0.015 0.015 0.352 1
Sm3 0.494 0.494 0.181 1
Sm4 0.500 0.500 0.500 1
Sm5 0.506 0.506 0.819 1
Sm6 0.985 0.985 0.648 1
```

6.
Pr3Zn3Pd2 | PBE | optimized geometry

SG: Cmcm (63)
E_tot in eV/atom: -4.136

Structure (CIF):
```
data_Pr3Zn3Pd2
_cell_length_a 5.703
_cell_length_b 5.703
_cell_length_c 15.319
_cell_angle_alpha 90.00
_cell_angle_beta 90.00
_cell_angle_gamma 133.09
_symmetry_space_group_name_H-M 'P 1'
_symmetry_Int_Tables_number 1
loop_
_symmetry_equiv_pos_as_xyz
'x,y,z'
loop_
_atom_site_label
_atom_site_fract_x
_atom_site_fract_y
_atom_site_fract_z
_atom_site_occupancy
Pr1 0.089 0.911 0.604 1
Pr2 0.089 0.911 0.896 1
Pr3 0.368 0.632 0.750 1
Pr4 0.632 0.368 0.250 1
Pr5 0.911 0.089 0.104 1
Pr6 0.911 0.089 0.396 1
Zn1 0.340 0.660 0.250 1
Zn2 0.382 0.618 0.539 1
Zn3 0.382 0.618 0.961 1
Zn4 0.618 0.382 0.039 1
Zn5 0.618 0.382 0.461 1
Zn6 0.660 0.340 0.750 1
Pd1 0.202 0.798 0.104 1
Pd2 0.202 0.798 0.396 1
Pd3 0.798 0.202 0.604 1
Pd4 0.798 0.202 0.896 1
```

7.
MoOs2 | PBE | optimized geometry

SG: I4_1/amd (141)
E_tot in eV/atom: -10.735

Structure (CIF):
```
data_MoOs2
_cell_length_a 2.759
_cell_length_b 2.759
_cell_length_c 24.318
_cell_angle_alpha 90.00
_cell_angle_beta 90.00
_cell_angle_gamma 90.00
_symmetry_space_group_name_H-M 'P 1'
_symmetry_Int_Tables_number 1
loop_
_symmetry_equiv_pos_as_xyz
'x,y,z'
loop_
_atom_site_label
_atom_site_fract_x
_atom_site_fract_y
_atom_site_fract_z
_atom_site_occupancy
Mo1 0.000 0.250 0.375 1
Mo2 0.000 0.750 0.625 1
Mo3 0.500 0.250 0.125 1
Mo4 0.500 0.750 0.875 1
Os1 0.000 0.250 0.796 1
Os2 0.000 0.250 0.954 1
Os3 0.000 0.750 0.046 1
Os4 0.000 0.750 0.204 1
Os5 0.500 0.250 0.546 1
Os6 0.500 0.250 0.704 1
Os7 0.500 0.750 0.296 1
Os8 0.500 0.750 0.454 1
```

8.
Mg2Ga8Pd | PBE | optimized geometry

SG: P4/mmm (123)
E_tot in eV/atom: -3.149

Structure (CIF):
```
data_Mg2Ga8Pd
_cell_length_a 4.311
_cell_length_b 4.311
_cell_length_c 10.920
_cell_angle_alpha 90.00
_cell_angle_beta 90.00
_cell_angle_gamma 90.00
_symmetry_space_group_name_H-M 'P 1'
_symmetry_Int_Tables_number 1
loop_
_symmetry_equiv_pos_as_xyz
'x,y,z'
loop_
_atom_site_label
_atom_site_fract_x
_atom_site_fract_y
_atom_site_fract_z
_atom_site_occupancy
Mg1 0.000 0.000 0.183 1
Mg2 0.000 0.000 0.817 1
Ga1 0.000 0.500 0.000 1
Ga2 0.000 0.500 0.367 1
Ga3 0.000 0.500 0.633 1
Ga4 0.500 0.000 0.000 1
Ga5 0.500 0.000 0.367 1
Ga6 0.500 0.000 0.633 1
Ga7 0.500 0.500 0.189 1
Ga8 0.500 0.500 0.811 1
Pd1 0.000 0.000 0.500 1
```

9.
BaTi4ZnO8 | PBE | optimized geometry

SG: P-31m (162)
ΔE_f (raw) in meV per atom: -2540

Structure (CIF):
```
data_BaTi4ZnO8
_cell_length_a 5.774
_cell_length_b 5.774
_cell_length_c 10.053
_cell_angle_alpha 90.00
_cell_angle_beta 90.00
_cell_angle_gamma 120.00
_symmetry_space_group_name_H-M 'P 1'
_symmetry_Int_Tables_number 1
loop_
_symmetry_equiv_pos_as_xyz
'x,y,z'
loop_
_atom_site_label
_atom_site_fract_x
_atom_site_fract_y
_atom_site_fract_z
_atom_site_occupancy
Ba1 0.000 0.000 0.000 1
Ti1 0.333 0.667 0.185 1
Ti2 0.333 0.667 0.815 1
Ti3 0.667 0.333 0.185 1
Ti4 0.667 0.333 0.815 1
Zn1 0.000 0.000 0.500 1
O1 0.000 0.365 0.218 1
O2 0.000 0.635 0.782 1
O3 0.333 0.667 0.000 1
O4 0.365 0.000 0.218 1
O5 0.365 0.365 0.782 1
O6 0.635 0.000 0.782 1
O7 0.635 0.635 0.218 1
O8 0.667 0.333 0.000 1
```

10.
NaTlInBi | PBE | optimized geometry

SG: I-4m2 (119)
E_tot in eV/atom: -2.720

Structure (CIF):
```
data_NaTlInBi
_cell_length_a 5.536
_cell_length_b 5.536
_cell_length_c 7.773
_cell_angle_alpha 90.00
_cell_angle_beta 90.00
_cell_angle_gamma 90.00
_symmetry_space_group_name_H-M 'P 1'
_symmetry_Int_Tables_number 1
loop_
_symmetry_equiv_pos_as_xyz
'x,y,z'
loop_
_atom_site_label
_atom_site_fract_x
_atom_site_fract_y
_atom_site_fract_z
_atom_site_occupancy
Na1 0.000 0.000 0.000 1
Na2 0.500 0.500 0.500 1
Tl1 0.000 0.500 0.750 1
Tl2 0.500 0.000 0.250 1
In1 0.000 0.000 0.500 1
In2 0.500 0.500 0.000 1
Bi1 0.000 0.500 0.250 1
Bi2 0.500 0.000 0.750 1
```

11.
Dy2InCo | PBE | optimized geometry

SG: R-3m (166)
E_tot in eV/atom: -4.765

Structure (CIF):
```
data_Dy2InCo
_cell_length_a 3.728
_cell_length_b 3.728
_cell_length_c 28.711
_cell_angle_alpha 90.00
_cell_angle_beta 90.00
_cell_angle_gamma 120.00
_symmetry_space_group_name_H-M 'P 1'
_symmetry_Int_Tables_number 1
loop_
_symmetry_equiv_pos_as_xyz
'x,y,z'
loop_
_atom_site_label
_atom_site_fract_x
_atom_site_fract_y
_atom_site_fract_z
_atom_site_occupancy
Dy1 0.000 0.000 0.114 1
Dy2 0.000 0.000 0.886 1
Dy3 0.333 0.667 0.552 1
Dy4 0.333 0.667 0.781 1
Dy5 0.667 0.333 0.219 1
Dy6 0.667 0.333 0.448 1
In1 0.000 0.000 0.000 1
In2 0.333 0.667 0.667 1
In3 0.667 0.333 0.333 1
Co1 0.000 0.000 0.500 1
Co2 0.333 0.667 0.167 1
Co3 0.667 0.333 0.833 1
```

12.
ScRe2Ni2 | PBE | optimized geometry

SG: P4/mbm (127)
E_tot in eV/atom: -8.411

Structure (CIF):
```
data_ScRe2Ni2
_cell_length_a 6.335
_cell_length_b 6.335
_cell_length_c 3.582
_cell_angle_alpha 90.00
_cell_angle_beta 90.00
_cell_angle_gamma 90.00
_symmetry_space_group_name_H-M 'P 1'
_symmetry_Int_Tables_number 1
loop_
_symmetry_equiv_pos_as_xyz
'x,y,z'
loop_
_atom_site_label
_atom_site_fract_x
_atom_site_fract_y
_atom_site_fract_z
_atom_site_occupancy
Sc1 0.000 0.000 0.000 1
Sc2 0.500 0.500 0.000 1
Re1 0.156 0.344 0.500 1
Re2 0.344 0.844 0.500 1
Re3 0.656 0.156 0.500 1
Re4 0.844 0.656 0.500 1
Ni1 0.130 0.630 0.000 1
Ni2 0.370 0.130 0.000 1
Ni3 0.630 0.870 0.000 1
Ni4 0.870 0.370 0.000 1
```